PBE BeSnB, relaxed; Fermi-level density of states = 1.13 states/eV/cell; energy of formation = 0.18 eV/atom; spin magnetization = 0.00 μB/cell; energy = -4.62 eV/atom
1.0
-0.971 -1.583 2.427
2.574 -1.015 2.268
-0.209 7.158 5.874
B Be Sn
2 2 2
Cartesian
1.760 -1.828 4.298
-0.366 6.388 6.271
0.597 4.196 9.051
0.797 0.364 1.518
0.008 4.291 5.063
1.385 0.268 5.506